Record 1
A geometry-optimized LaHo2PuN4 structure. Source: Alexandria, functional PBE-GGA.

Properties
Space group: P2/m (10)
Total magnetic moment, Bohr magnetons per cell: 4.77
E_tot, eV per atom: -9.17

```
8
Lattice="6.111 0.000 0.000 0.000 3.532 0.000 -2.023 0.000 5.772" Properties=species:S:1:pos:R:3 pbc="T T T"
La 0.000 0.000 0.000
Ho -1.012 1.766 2.886
Ho 2.044 0.000 2.886
Pu 3.055 1.766 0.000
N 0.084 0.000 4.314
N 1.102 1.766 1.499
N 2.986 1.766 4.273
N 4.003 0.000 1.459
```

***

Record 2
A geometry-optimized La3Ho2PuN6 structure. Source: Alexandria, functional PBE-GGA.

Properties
Space group: C2/m (12)
Total magnetic moment, Bohr magnetons per cell: 4.13
E_tot, eV per atom: -8.77

```
12
Lattice="3.089 -5.343 0.000 3.089 5.343 0.000 -2.063 0.000 5.929" Properties=species:S:1:pos:R:3 pbc="T T T"
La 0.000 0.000 0.000
La 3.089 1.793 0.000
La 3.089 -1.793 0.000
Ho 2.058 3.565 2.965
Ho 2.058 -3.565 2.965
Pu 2.058 0.000 2.965
N 1.069 1.712 1.648
N 0.064 0.000 4.307
N 1.069 -1.712 1.648
N 3.046 1.712 4.281
N 4.051 0.000 1.623
N 3.046 -1.712 4.281
```

***

Record 3
A geometry-optimized LaHo2ReN4 structure. Source: Alexandria, functional PBE-GGA.

Properties
Space group: Cmcm (63)
Total magnetic moment, Bohr magnetons per cell: 0.00
E_tot, eV per atom: -8.56

```
16
Lattice="1.741 -5.904 0.000 1.741 5.904 0.000 0.000 0.000 11.843" Properties=species:S:1:pos:R:3 pbc="T T T"
La 1.741 4.903 8.882
La 1.741 -4.903 2.961
Ho 1.741 1.537 6.410
Ho 1.741 1.537 11.354
Ho 1.741 -1.537 0.489
Ho 1.741 -1.537 5.433
Re 1.741 3.898 2.961
Re 1.741 -3.898 8.882
N 0.000 0.000 0.000
N 0.000 0.000 5.922
N 1.741 2.815 1.381
N 1.741 2.815 4.541
N 1.741 0.944 8.882
N 1.741 -0.944 2.961
N 1.741 -2.815 7.303
N 1.741 -2.815 10.462
```

***

Number 1: ρ 10.247 Mg/m³. Number 2: ρ 9.117 Mg/m³. Number 3: ρ 9.700 Mg/m³.